{"formula": "Sc4Cr2C", "functional": "PBE", "state": "relaxed", "e_form_mev_per_atom": 279, "volume_a3_per_cell": 143.9, "dos_at_fermi_per_ev_cell": 6.71, "total_energy_ev_per_atom": -7.406, "lattice": [[4.410, 0.000, 0.000], [0.000, 4.410, 0.000], [2.205, 2.205, 7.400]], "species": ["Sc", "Sc", "Sc", "Sc", "C", "Cr", "Cr"], "frac_coords": [[0.846, 0.846, 0.308], [0.000, 0.500, 0.000], [0.500, 0.000, 0.000], [0.154, 0.154, 0.692], [0.000, 0.000, 0.000], [0.351, 0.351, 0.297], [0.649, 0.649, 0.703]]}



{"formula": "Sm2ErGa3", "functional": "PBE", "state": "relaxed", "e_form_mev_per_atom": -486, "volume_a3_per_cell": 304.3, "dos_at_fermi_per_ev_cell": 10.08, "total_energy_ev_per_atom": -4.333, "e_above_lowest_polymorph_ev_per_atom": 0.084, "lattice": [[-1.271, 1.586, 4.161], [-2.819, -5.455, 1.219], [9.553, -4.480, 2.048]], "species": ["Er", "Er", "Sm", "Sm", "Sm", "Sm", "Ga", "Ga", "Ga", "Ga", "Ga", "Ga"], "frac_coords": [[0.674, 0.250, 0.348], [0.326, 0.750, 0.652], [0.035, 0.250, 0.070], [0.146, 0.750, 0.292], [0.965, 0.750, 0.930], [0.854, 0.250, 0.708], [0.743, 0.750, 0.486], [0.438, 0.047, 0.875], [0.562, 0.547, 0.125], [0.562, 0.953, 0.125], [0.438, 0.453, 0.875], [0.257, 0.250, 0.514]]}



{"formula": "OsRu3Rh", "functional": "PBE", "state": "relaxed", "e_form_mev_per_atom": 1903, "volume_a3_per_cell": 99.7, "dos_at_fermi_per_ev_cell": 7.53, "total_energy_ev_per_atom": -7.378, "e_above_lowest_polymorph_ev_per_atom": 1.824, "lattice": [[4.637, 0.000, 0.000], [0.000, 4.637, 0.000], [0.000, 0.000, 4.637]], "species": ["Ru", "Ru", "Ru", "Os", "Rh"], "frac_coords": [[0.500, 0.000, 0.000], [0.000, 0.500, 0.000], [0.000, 0.000, 0.500], [0.000, 0.000, 0.000], [0.500, 0.500, 0.500]]}



{"formula": "BeBPdAu", "functional": "PBE", "state": "relaxed", "e_form_mev_per_atom": 110, "volume_a3_per_cell": 106.3, "dos_at_fermi_per_ev_cell": 2.61, "total_energy_ev_per_atom": -4.608, "e_above_lowest_polymorph_ev_per_atom": 0.105, "lattice": [[5.102, 0.000, 0.062], [0.000, 3.804, 0.000], [-2.553, 0.000, 5.444]], "species": ["Au", "Au", "B", "B", "Pd", "Pd", "Be", "Be"], "frac_coords": [[0.344, 0.000, 0.778], [0.344, 0.500, 0.278], [0.822, 0.000, 0.951], [0.822, 0.500, 0.451], [0.762, 0.000, 0.584], [0.762, 0.500, 0.084], [0.047, 0.000, 0.336], [0.047, 0.500, 0.836]]}



{"formula": "NdDy8Cd6", "functional": "PBE", "state": "relaxed", "e_form_mev_per_atom": -65, "volume_a3_per_cell": 448.2, "dos_at_fermi_per_ev_cell": 18.11, "total_energy_ev_per_atom": -3.204, "lattice": [[-7.482, -2.967, 4.063], [-6.841, -3.195, -4.928], [-2.279, -7.901, 0.038]], "species": ["Cd", "Cd", "Cd", "Cd", "Cd", "Cd", "Dy", "Dy", "Dy", "Dy", "Dy", "Dy", "Dy", "Dy", "Nd"], "frac_coords": [[0.391, 0.052, 0.843], [0.609, 0.948, 0.157], [0.287, 0.609, 0.157], [0.713, 0.391, 0.843], [0.948, 0.287, 0.157], [0.052, 0.713, 0.843], [0.554, 0.215, 0.349], [0.332, 0.332, 0.003], [0.118, 0.446, 0.651], [0.882, 0.554, 0.349], [0.785, 0.118, 0.651], [0.446, 0.785, 0.651], [0.668, 0.668, 0.997], [0.215, 0.882, 0.349], [0.000, 0.000, 0.000]]}



{"formula": "La2AgRh", "functional": "PBE", "state": "relaxed", "e_form_mev_per_atom": -201, "volume_a3_per_cell": 96.8, "dos_at_fermi_per_ev_cell": 4.77, "total_energy_ev_per_atom": -5.216, "lattice": [[-2.163, 0.681, 2.993], [0.914, -3.352, 1.423], [5.359, 2.831, 3.228]], "species": ["La", "La", "Ag", "Rh"], "frac_coords": [[0.000, 0.000, 0.970], [0.500, 0.500, 0.300], [0.500, 0.500, 0.732], [0.000, 0.000, 0.498]]}



{"formula": "TeRh3", "functional": "PBE", "state": "relaxed", "formation_energy_uncorrected_kj_per_mol_atoms": 0.6, "volume_a3_per_cell": 126.6, "dos_at_fermi_per_ev_cell": 10.83, "total_energy_ev_per_atom": -6.293, "lattice": [[-1.244, 2.210, 3.798], [-4.592, -0.050, -1.475], [-0.802, -5.031, 2.664]], "species": ["Te", "Te", "Rh", "Rh", "Rh", "Rh", "Rh", "Rh"], "frac_coords": [[0.000, 0.696, 0.000], [0.500, 0.304, 0.500], [0.000, 0.699, 0.500], [0.000, 0.189, 0.250], [0.500, 0.811, 0.750], [0.500, 0.301, 0.000], [0.000, 0.189, 0.750], [0.500, 0.811, 0.250]]}



{"formula": "MnAlSb4", "functional": "PBE", "state": "relaxed", "formation_energy_uncorrected_kj_per_mol_atoms": 59.2, "volume_a3_per_cell": 168.7, "dos_at_fermi_per_ev_cell": 2.93, "total_energy_ev_per_atom": -4.287, "lattice": [[5.122, -1.392, 3.209], [-0.422, -3.291, 5.241], [2.063, -5.847, 0.166]], "species": ["Al", "Sb", "Sb", "Sb", "Sb", "Mn"], "frac_coords": [[0.750, 0.750, 0.750], [0.375, 0.375, 0.875], [0.875, 0.375, 0.375], [0.375, 0.875, 0.375], [0.375, 0.375, 0.375], [0.000, 0.000, 0.000]]}



{"formula": "Ac2NdCd", "functional": "PBE", "state": "relaxed", "e_form_mev_per_atom": -4, "volume_a3_per_cell": 145.6, "dos_at_fermi_per_ev_cell": 5.38, "total_energy_ev_per_atom": -3.479, "e_above_lowest_polymorph_ev_per_atom": 0.129, "lattice": [[5.905, 0.000, 0.000], [2.952, 5.114, 0.000], [2.952, 1.705, 4.821]], "species": ["Ac", "Ac", "Cd", "Nd"], "frac_coords": [[0.750, 0.750, 0.750], [0.250, 0.250, 0.250], [0.500, 0.500, 0.500], [0.000, 0.000, 0.000]]}



{"formula": "BeFeAu", "functional": "PBE", "state": "relaxed", "e_form_mev_per_atom": 31, "volume_a3_per_cell": 37.7, "dos_at_fermi_per_ev_cell": 1.92, "total_energy_ev_per_atom": -5.125, "e_above_lowest_polymorph_ev_per_atom": 0.000, "lattice": [[5.325, 0.006, -0.006], [4.607, 2.670, 0.008], [0.718, 0.179, 2.658]], "species": ["Be", "Au", "Fe"], "frac_coords": [[0.673, 0.673, 0.327], [0.015, 0.015, 0.985], [0.311, 0.311, 0.689]]}



{"formula": "AlNiPCl2", "functional": "PBE", "state": "relaxed", "formation_energy_uncorrected_kj_per_mol_atoms": 12.7, "volume_a3_per_cell": 96.8, "dos_at_fermi_per_ev_cell": 4.57, "total_energy_ev_per_atom": -3.593, "e_above_lowest_polymorph_ev_per_atom": 0.000, "lattice": [[4.466, 0.000, 0.000], [0.000, 4.466, 0.000], [0.000, 0.000, 4.853]], "species": ["Al", "Cl", "Cl", "P", "Ni"], "frac_coords": [[0.500, 0.500, 0.500], [0.500, 0.000, 0.000], [0.000, 0.500, 0.000], [0.000, 0.000, 0.500], [0.000, 0.000, 0.000]]}



{"formula": "LiZnAg3", "functional": "PBE", "state": "relaxed", "e_form_mev_per_atom": 292, "volume_a3_per_cell": 117.3, "dos_at_fermi_per_ev_cell": 1.65, "total_energy_ev_per_atom": -2.057, "e_above_lowest_polymorph_ev_per_atom": 0.429, "lattice": [[4.895, 0.000, 0.000], [0.000, 4.895, 0.000], [0.000, 0.000, 4.895]], "species": ["Li", "Ag", "Ag", "Ag", "Zn"], "frac_coords": [[0.500, 0.500, 0.500], [0.000, 0.500, 0.000], [0.500, 0.000, 0.000], [0.000, 0.000, 0.500], [0.000, 0.000, 0.000]]}